Entry 1:
! LiOs2Ru PBE relaxed; values from VASP
! **Crystal system**: monoclinic
&SYSTEM
  ibrav = 0, nat = 4, ntyp = 3
/
ATOMIC_SPECIES
Li 6.94 Li.upf
Os 190.23 Os.upf
Ru 101.07 Ru.upf
ATOMIC_POSITIONS crystal
Li 0.751 0.751 0.738
Os 0.991 0.991 0.010
Os 0.247 0.247 0.235
Ru 0.510 0.510 0.518
CELL_PARAMETERS angstrom
-3.944 -2.154 -1.092
-3.088 -3.223 1.210
-2.916 2.798 2.384

Entry 2:
! LiOsRu2 PBE relaxed; values from VASP
! **Crystal system**: orthorhombic
! **Energy relative to the lowest polymorph listed for this composition**: 30 meV per atom
&SYSTEM
  ibrav = 0, nat = 4, ntyp = 3
/
ATOMIC_SPECIES
Li 6.94 Li.upf
Os 190.23 Os.upf
Ru 101.07 Ru.upf
ATOMIC_POSITIONS crystal
Li 0.000 0.000 0.492
Os 0.500 0.500 0.745
Ru 0.000 0.000 0.988
Ru 0.500 0.500 0.275
CELL_PARAMETERS angstrom
2.705 0.000 0.000
0.000 3.910 0.000
0.000 0.000 5.108

DOS(E_F) for the records above, in order: 0.9506, 0.6860 states/eV/atom
Electronic total energy for the records above, in order: -0.3001, -0.2832 Ha/atom